Entry 1:
Material: CsGaP2Cl
Method: DFT, PBE-GGA
State: optimized geometry

* space group: P4/mmm, No. 123
* volume: 147 Å³ per cell
* formation energy (no corrections): -0.06 eV/atom
* energy above the most stable polymorph in this dataset: 0 meV/atom

Unit cell a=4.783 b=4.783 c=6.431 alpha=90.00 beta=90.00 gamma=90.00
Fractional positions:
Cs: 0.000 0.000 0.000
Ga: 0.500 0.500 0.500
P: 0.000 0.500 0.500
P: 0.500 0.000 0.500
Cl: 0.500 0.500 0.000

***

Entry 2:
Material: CsGaPCl2
Method: DFT, PBE-GGA
State: optimized geometry

* space group: P4/mmm, No. 123
* volume: 145 Å³ per cell
* formation energy (no corrections): -0.66 eV/atom

Unit cell a=5.456 b=5.456 c=4.855 alpha=90.00 beta=90.00 gamma=90.00
Fractional positions:
Cs: 0.000 0.000 0.000
Ga: 0.500 0.500 0.500
P: 0.500 0.500 0.000
Cl: 0.000 0.500 0.500
Cl: 0.500 0.000 0.500

***

Entry 3:
Material: CsPaGaCl6
Method: DFT, PBE-GGA
State: optimized geometry

* space group: P-31c, No. 163
* volume: 657 Å³ per cell
* formation energy (no corrections): -1.68 eV/atom

Unit cell a=8.080 b=8.080 c=11.622 alpha=90.00 beta=90.00 gamma=120.00
Fractional positions:
Cs: 0.333 0.667 0.250
Cs: 0.667 0.333 0.750
Pa: 0.333 0.667 0.750
Pa: 0.667 0.333 0.250
Ga: 0.000 0.000 0.000
Ga: 0.000 0.000 0.500
Cl: 0.078 0.385 0.618
Cl: 0.078 0.693 0.882
Cl: 0.307 0.385 0.882
Cl: 0.307 0.922 0.618
Cl: 0.385 0.078 0.118
Cl: 0.385 0.307 0.382
Cl: 0.615 0.693 0.618
Cl: 0.615 0.922 0.882
Cl: 0.693 0.078 0.382
Cl: 0.693 0.615 0.118
Cl: 0.922 0.307 0.118
Cl: 0.922 0.615 0.382

***

Entry 4:
Material: Cs2PaGaCl6
Method: DFT, PBE-GGA
State: optimized geometry

* space group: R-3m, No. 166
* volume: 751 Å³ per cell
* formation energy (no corrections): -1.64 eV/atom

Unit cell a=13.346 b=13.346 c=13.346 alpha=36.45 beta=36.45 gamma=36.45
Fractional positions:
Cs: 0.129 0.129 0.129
Cs: 0.276 0.276 0.276
Cs: 0.724 0.724 0.724
Cs: 0.871 0.871 0.871
Pa: 0.000 0.000 0.000
Pa: 0.500 0.500 0.500
Ga: 0.414 0.414 0.414
Ga: 0.586 0.586 0.586
Cl: 0.127 0.632 0.632
Cl: 0.192 0.192 0.744
Cl: 0.192 0.744 0.192
Cl: 0.256 0.808 0.808
Cl: 0.368 0.368 0.873
Cl: 0.368 0.873 0.368
Cl: 0.632 0.127 0.632
Cl: 0.632 0.632 0.127
Cl: 0.744 0.192 0.192
Cl: 0.808 0.256 0.808
Cl: 0.808 0.808 0.256
Cl: 0.873 0.368 0.368

***

Entry 5:
Material: CsGa2PbCl8
Method: DFT, PBE-GGA
State: optimized geometry

* space group: R-3, No. 148
* volume: 406 Å³ per cell
* formation energy (no corrections): -1.18 eV/atom

Unit cell a=10.708 b=10.708 c=10.708 alpha=37.40 beta=37.40 gamma=37.40
Fractional positions:
Cs: 0.000 0.000 0.000
Ga: 0.252 0.252 0.252
Ga: 0.748 0.748 0.748
Pb: 0.500 0.500 0.500
Cl: 0.084 0.782 0.454
Cl: 0.218 0.546 0.916
Cl: 0.327 0.327 0.327
Cl: 0.454 0.084 0.782
Cl: 0.546 0.916 0.218
Cl: 0.673 0.673 0.673
Cl: 0.782 0.454 0.084
Cl: 0.916 0.218 0.546

***

Entry 6:
Material: CsGa2PbCl
Method: DFT, PBE-GGA
State: optimized geometry

* space group: P4/mmm, No. 123
* volume: 270 Å³ per cell
* formation energy (no corrections): 0.95 eV/atom

Unit cell a=6.380 b=6.380 c=6.637 alpha=90.00 beta=90.00 gamma=90.00
Fractional positions:
Cs: 0.000 0.000 0.000
Ga: 0.000 0.500 0.000
Ga: 0.500 0.000 0.000
Pb: 0.000 0.000 0.500
Cl: 0.500 0.500 0.500

***

Entry 7:
Material: Cs2Ga2PbCl6
Method: DFT, PBE-GGA
State: optimized geometry

* space group: C2/m, No. 12
* volume: 390 Å³ per cell
* formation energy (no corrections): -1.28 eV/atom

Unit cell a=7.166 b=7.166 c=8.855 alpha=107.19 beta=107.19 gamma=66.43
Fractional positions:
Cs: 0.204 0.204 0.144
Cs: 0.796 0.796 0.856
Ga: 0.410 0.410 0.825
Ga: 0.590 0.590 0.175
Pb: 0.000 0.000 0.500
Cl: 0.205 0.718 0.228
Cl: 0.250 0.250 0.543
Cl: 0.282 0.795 0.772
Cl: 0.718 0.205 0.228
Cl: 0.750 0.750 0.457
Cl: 0.795 0.282 0.772

***

Entry 8:
Material: CsGaPdCl6
Method: DFT, PBE-GGA
State: optimized geometry

* space group: P312, No. 149
* volume: 285 Å³ per cell
* formation energy (no corrections): -1.04 eV/atom

Unit cell a=6.462 b=6.462 c=7.875 alpha=90.00 beta=90.00 gamma=120.00
Fractional positions:
Cs: 0.000 0.000 0.000
Ga: 0.667 0.333 0.500
Pd: 0.333 0.667 0.500
Cl: 0.377 0.016 0.676
Cl: 0.377 0.361 0.324
Cl: 0.639 0.016 0.324
Cl: 0.639 0.623 0.676
Cl: 0.984 0.361 0.676
Cl: 0.984 0.623 0.324

***

Entry 9:
Material: CsGa2PdCl8
Method: DFT, PBE-GGA
State: optimized geometry

* space group: R-3, No. 148
* volume: 359 Å³ per cell
* formation energy (no corrections): -1.11 eV/atom

Unit cell a=10.448 b=10.448 c=10.448 alpha=36.38 beta=36.38 gamma=36.38
Fractional positions:
Cs: 0.000 0.000 0.000
Ga: 0.243 0.243 0.243
Ga: 0.757 0.757 0.757
Pd: 0.500 0.500 0.500
Cl: 0.106 0.773 0.457
Cl: 0.227 0.543 0.894
Cl: 0.319 0.319 0.319
Cl: 0.457 0.106 0.773
Cl: 0.543 0.894 0.227
Cl: 0.681 0.681 0.681
Cl: 0.773 0.457 0.106
Cl: 0.894 0.227 0.543

***

Entry 10:
Material: Cs2PmGaCl6
Method: DFT, PBE-GGA
State: optimized geometry

* space group: Fm-3m, No. 225
* volume: 363 Å³ per cell
* formation energy (no corrections): -1.89 eV/atom

Unit cell a=8.006 b=8.006 c=8.006 alpha=60.00 beta=60.00 gamma=60.00
Fractional positions:
Cs: 0.250 0.250 0.250
Cs: 0.750 0.750 0.750
Pm: 0.000 0.000 0.000
Ga: 0.500 0.500 0.500
Cl: 0.240 0.240 0.760
Cl: 0.240 0.760 0.240
Cl: 0.240 0.760 0.760
Cl: 0.760 0.240 0.240
Cl: 0.760 0.240 0.760
Cl: 0.760 0.760 0.240

***

Entry 11:
Material: Cs2PuGaCl6
Method: DFT, PBE-GGA
State: optimized geometry

* space group: Fm-3m, No. 225
* volume: 358 Å³ per cell
* formation energy (no corrections): -1.74 eV/atom

Unit cell a=7.969 b=7.969 c=7.969 alpha=60.00 beta=60.00 gamma=60.00
Fractional positions:
Cs: 0.250 0.250 0.250
Cs: 0.750 0.750 0.750
Pu: 0.000 0.000 0.000
Ga: 0.500 0.500 0.500
Cl: 0.241 0.241 0.759
Cl: 0.241 0.759 0.241
Cl: 0.241 0.759 0.759
Cl: 0.759 0.241 0.241
Cl: 0.759 0.241 0.759
Cl: 0.759 0.759 0.241

***

Entry 12:
Material: CsPu2GaCl8
Method: DFT, PBE-GGA
State: optimized geometry

* space group: P2/m, No. 10
* volume: 437 Å³ per cell
* formation energy (no corrections): -1.70 eV/atom

Unit cell a=7.013 b=8.629 c=7.232 alpha=90.00 beta=93.49 gamma=90.00
Fractional positions:
Cs: 0.000 0.000 0.000
Pu: 0.500 0.256 0.500
Pu: 0.500 0.744 0.500
Ga: 0.000 0.500 0.000
Cl: 0.272 0.278 0.193
Cl: 0.272 0.722 0.193
Cl: 0.293 0.500 0.637
Cl: 0.297 0.000 0.621
Cl: 0.703 0.000 0.379
Cl: 0.707 0.500 0.363
Cl: 0.728 0.278 0.807
Cl: 0.728 0.722 0.807